First-principles (GGA-PBE) data for FeSi5 after structural relaxation, as listed in Alexandria.

Results
ΔE to the lowest computed polymorph (kcal/mol of atoms): 0.00
Calculated volume (A^3/atom): 13.44
D(E_F) (states/eV/cell): 2.8
Magnetization (μB per atom): 0.00
Uncorrected energy (eV for the cell shown): -34.387
Formation energy without anion corrections (eV per atom): 0.198

```
6
Lattice="-1.8934 -3.9515 1.6774 -1.5573 -2.3173 3.7706 -7.3056 0.3802 0.8762" Properties=species:S:1:pos:R:3 pbc="T T T"
Si -7.6290 -5.7722 5.7313
Si -7.5394 -3.8195 4.1925
Fe -0.2245 -0.1475 0.1512
Si -7.9872 -1.6865 2.5992
Si -3.2265 -1.7492 1.8837
Si -3.8693 -3.5093 3.3609
```

First-principles (GGA-PBE) data for Li2InPb after structural relaxation, as listed in Alexandria.

Results
ΔE to the lowest computed polymorph (kcal/mol of atoms): 1.20
Calculated volume (A^3/atom): 22.20
D(E_F) (states/eV/cell): 1.1
Magnetization (μB per atom): 0.00
Uncorrected energy (eV for the cell shown): -11.173

```
4
Lattice="5.5906 0.0149 0.0000 2.1685 5.1529 0.0000 -3.8795 -2.5839 3.0866" Properties=species:S:1:pos:R:3 pbc="T T T"
Pb 3.8795 2.5839 0.0000
In 2.7953 0.0075 1.5433
Li 0.0000 0.0000 0.0000
Li 1.0842 2.5765 1.5433
```

First-principles (GGA-PBE) data for Y4Th2Sc after structural relaxation, as listed in Alexandria.

Results
Calculated volume (A^3/atom): 31.18
D(E_F) (states/eV/cell): 46.6
Magnetization (μB per atom): 0.00
Uncorrected energy (eV for the cell shown): -186.627

```
28
Lattice="5.2397 0.0000 0.0000 0.0000 7.0405 0.0000 0.0000 0.0000 23.6691" Properties=species:S:1:pos:R:3 pbc="T T T"
Th 0.0000 3.5202 0.0000
Y 2.6215 3.5408 8.2422
Th 2.6208 1.7601 1.7441
Y 2.6182 0.0206 15.4269
Y 0.0021 5.2803 6.6932
Y 5.2377 1.7601 16.9760
Y 0.0017 0.0206 3.5923
Y 2.6178 5.2803 18.5277
Y 0.0008 1.7601 10.1390
Y 5.2389 5.2803 13.5301
Th 5.2388 1.7601 13.5787
Th 0.0000 0.0000 0.0000
Y 2.6207 5.2803 1.6956
Y 5.2381 3.5408 20.0768
Sc 2.6220 5.2803 5.0488
Sc 2.6178 1.7601 18.6203
Th 2.6189 5.2803 21.9251
Th 2.6199 0.0000 11.8346
Sc 5.2376 5.2804 16.8834
Y 2.6191 1.7601 21.9736
Y 5.2381 7.0199 20.0768
Y 2.6215 7.0199 8.2422
Sc 0.0021 1.7601 6.7858
Th 2.6199 3.5202 11.8346
Th 0.0009 5.2803 10.0905
Y 2.6219 1.7601 5.1414
Y 0.0017 3.4996 3.5923
Y 2.6182 3.4997 15.4269
```

First-principles (GGA-PBE) data for LaTa4Hg after structural relaxation, as listed in Alexandria.

Results
Calculated volume (A^3/atom): 21.92
D(E_F) (states/eV/cell): 9.6
Magnetization (μB per atom): 0.00
Uncorrected energy (eV for the cell shown): -49.983

```
6
Lattice="0.0000 4.0361 4.0361 4.0361 0.0000 4.0361 4.0361 4.0361 0.0000" Properties=species:S:1:pos:R:3 pbc="T T T"
Hg 6.0542 6.0542 6.0542
La 0.0000 0.0000 0.0000
Ta 5.0626 3.0096 5.0626
Ta 5.0626 5.0626 3.0096
Ta 3.0096 3.0096 3.0096
Ta 3.0096 5.0626 5.0626
```

First-principles (GGA-PBE) data for Ti2OsSe6 after structural relaxation, as listed in Alexandria.

Results
Calculated volume (A^3/atom): 19.89
D(E_F) (states/eV/cell): 12.9
Magnetization (μB per atom): 0.00
Uncorrected energy (eV for the cell shown): -106.183
Formation energy without anion corrections (eV per atom): -0.574

```
18
Lattice="-0.2905 -4.9971 -3.9617 4.2642 2.7463 -3.7768 6.5457 -3.7910 4.6338" Properties=species:S:1:pos:R:3 pbc="T T T"
Se 1.8682 -0.1825 -1.5280
Ti 6.1288 -6.6644 -1.5716
Os 3.2729 -1.8955 2.3169
Os 1.9868 -1.1254 -3.8692
Se 7.0166 -3.0113 0.2358
Se 3.5028 -3.0305 -3.3404
Ti 8.3222 -3.2536 -1.9091
Se 4.9519 -3.6955 2.7012
Se 6.3689 -4.4783 -3.0849
Se 5.5674 -2.3463 -5.8059
Ti 4.3906 0.6226 -1.5330
Ti 2.1971 -2.7882 -1.1955
Se 3.9839 0.3940 -4.0787
Se 8.6512 -5.8593 -1.5766
Se 4.3051 -5.0214 -0.5802
Se 6.2143 -1.0204 -2.5244
Se 4.1505 -1.5635 -0.0198
Se 6.5355 -6.4358 0.9740
```

First-principles (GGA-PBE) data for K2AlCuHg after structural relaxation, as listed in Alexandria.

Results
Calculated volume (A^3/atom): 37.24
D(E_F) (states/eV/cell): 3.7
Magnetization (μB per atom): 0.00
Uncorrected energy (eV for the cell shown): -8.202

```
5
Lattice="-0.2572 -4.6633 -3.8490 4.9954 0.4209 -0.8437 1.0926 -3.8249 4.5611" Properties=species:S:1:pos:R:3 pbc="T T T"
Hg 2.4977 0.2104 -0.4218
K -0.1286 -2.3316 -1.9245
Al 2.9154 -4.0337 -0.0658
K 0.5463 -1.9125 2.2805
Cu 0.0000 0.0000 0.0000
```

First-principles (GGA-PBE) data for MgP2SCl after structural relaxation, as listed in Alexandria.

Results
ΔE to the lowest computed polymorph (kcal/mol of atoms): 5.01
Calculated volume (A^3/atom): 22.32
D(E_F) (states/eV/cell): 3.1
Magnetization (μB per atom): 0.00
Uncorrected energy (eV for the cell shown): -14.814
Formation energy without anion corrections (eV per atom): 0.715

```
5
Lattice="4.9722 0.0000 0.0000 0.0000 4.9722 0.0000 0.0000 0.0000 4.5136" Properties=species:S:1:pos:R:3 pbc="T T T"
Mg 0.0000 0.0000 0.0000
P 2.4861 0.0000 0.0000
S 2.4861 2.4861 2.2568
P 0.0000 2.4861 0.0000
Cl 0.0000 0.0000 2.2568
```

First-principles (GGA-PBE) data for Cs7AuBr5 after structural relaxation, as listed in Alexandria.

Results
Calculated volume (A^3/atom): 53.60
D(E_F) (states/eV/cell): 8.2
Magnetization (μB per atom): 0.00
Uncorrected energy (eV for the cell shown): -71.509
Formation energy without anion corrections (eV per atom): -1.395

```
26
Lattice="-4.3610 -2.4088 1.2075 6.1942 -6.4641 -1.4057 7.7790 1.0939 30.2757" Properties=species:S:1:pos:R:3 pbc="T T T"
Au 7.5165 -2.4186 22.3210
Cs 7.6524 -0.3642 26.9100
Cs 1.9709 -7.4360 3.1655
Cs 10.4152 -4.5202 28.5971
Br 2.7772 -4.1538 1.7436
Cs 2.9019 -2.6999 5.0941
Br 0.9467 -1.4880 11.3318
Br 4.0777 -4.0359 17.5565
Cs 7.0874 -4.9871 15.6474
Cs 4.1741 -7.0785 11.8354
Au 2.1025 -5.3684 7.7652
Cs 4.0004 -2.4994 9.4616
Cs 5.5527 -6.6272 6.8332
Cs 6.7196 -5.0957 24.9836
Cs -0.7914 -3.2803 1.4794
Cs 5.4352 -0.6975 18.2377
Br 5.5331 -3.7408 12.5205
Br 8.6644 -6.2898 18.7444
Br -0.6879 -1.7679 4.8701
Br 10.3109 -6.0313 25.2059
Br 6.8459 -3.6452 28.3335
Cs 4.0621 -1.1589 23.2394
Cs 2.5224 -2.7884 14.4283
Br 5.7214 -8.3244 14.9381
Cs 5.6116 -5.2803 20.6139
Br 0.0056 -0.0104 -0.0006
```

First-principles (GGA-PBE) data for LiBiF2 after structural relaxation, as listed in Alexandria.

Results
ΔE to the lowest computed polymorph (kcal/mol of atoms): 4.31
Calculated volume (A^3/atom): 15.61
D(E_F) (states/eV/cell): 1.3
Magnetization (μB per atom): 0.00
Uncorrected energy (eV for the cell shown): -34.661
Formation energy without anion corrections (eV per atom): -1.948

```
8
Lattice="-2.4481 -4.6650 -0.2944 0.4405 0.1006 -5.2572 2.9510 -4.3759 -2.4845" Properties=species:S:1:pos:R:3 pbc="T T T"
F -0.4166 -3.3860 -1.4237
Bi 0.0000 0.0000 0.0000
F 0.3988 -7.2889 -6.0325
Li 1.1938 -3.2787 -5.2587
F 0.3864 -2.2252 -3.9822
Bi -0.2505 -5.6615 -2.7774
F 1.5180 -4.9804 -4.6338
Li -1.0038 -2.2822 -2.7758
```

First-principles (GGA-PBE) data for LiSb3P after structural relaxation, as listed in Alexandria.

Results
ΔE to the lowest computed polymorph (kcal/mol of atoms): 0.00
Calculated volume (A^3/atom): 29.39
D(E_F) (states/eV/cell): 5.2
Magnetization (μB per atom): 0.00
Uncorrected energy (eV for the cell shown): -17.683
Formation energy without anion corrections (eV per atom): 0.402

```
5
Lattice="-0.7418 0.6661 5.1819 0.6628 -5.1796 0.7607 5.1823 0.7578 0.6445" Properties=species:S:1:pos:R:3 pbc="T T T"
Sb 2.5912 0.3789 0.3222
Sb -0.3709 0.3331 2.5910
Li 2.5517 -1.8778 3.2935
Sb 0.3314 -2.5898 0.3804
P 0.0000 0.0000 0.0000
```

First-principles (GGA-PBE) data for Ca2AuBr2 after structural relaxation, as listed in Alexandria.

Results
Calculated volume (A^3/atom): 31.23
D(E_F) (states/eV/cell): 1.8
Magnetization (μB per atom): 0.00
Uncorrected energy (eV for the cell shown): -16.135
Formation energy without anion corrections (eV per atom): -1.102

```
5
Lattice="5.4965 -0.5043 5.5099 4.3825 5.6218 3.1644 -7.2483 -2.0800 -1.9902" Properties=species:S:1:pos:R:3 pbc="T T T"
Au 0.0000 0.0000 0.0000
Br 1.0369 3.0503 2.7557
Ca 6.1764 3.1994 5.4232
Br 1.5939 -0.0128 3.9284
Ca 3.7027 1.9180 3.2511
```

First-principles (GGA-PBE) data for LaCuBr after structural relaxation, as listed in Alexandria.

Results
Calculated volume (A^3/atom): 28.03
D(E_F) (states/eV/cell): 4.5
Magnetization (μB per atom): 0.09
Uncorrected energy (eV for the cell shown): -26.455
Formation energy without anion corrections (eV per atom): -0.844

```
6
Lattice="-1.2693 2.5472 2.5977 -3.0585 1.1929 -2.0175 -6.3731 -8.1120 4.8510" Properties=species:S:1:pos:R:3 pbc="T T T"
La -2.3440 -0.6754 1.1069
La -8.3569 -3.6964 4.3243
Cu -1.7167 2.2086 1.4438
Br -5.4503 -0.0033 2.1138
Br -5.2506 -4.3685 3.3174
Cu -2.6111 1.5315 -0.8635
```